Version i
Material: CuTeSe
Method: DFT, GGA-PBEsol
State: optimized geometry

Lattice parameters (Å, degrees): 6.270 6.270 6.270 90.00 90.00 90.00
Element x y z (fractional)
1 Te 0.375 0.375 0.375
2 Se 0.615 0.615 0.615
3 Cu 0.014 0.014 0.014
4 Se 0.115 0.885 0.385
5 Se 0.885 0.385 0.115
6 Te 0.125 0.625 0.875
7 Te 0.875 0.125 0.625
8 Cu 0.514 0.486 0.986
9 Cu 0.986 0.514 0.486
10 Se 0.385 0.115 0.885
11 Cu 0.486 0.986 0.514
12 Te 0.625 0.875 0.125



Version ii
Material: CuTeSe
Method: DFT, GGA-PBEsol
State: optimized geometry

Lattice parameters (Å, degrees): 3.782 3.782 4.864 90.00 90.00 120.00
Element x y z (fractional)
1 Cu 0.000 0.000 0.982
2 Te 0.667 0.333 0.286
3 Se 0.333 0.667 0.732



It turns out version i is the most stable, with the second structure 0.6 kJ/mol of atoms higher.



Version i
Material: TlCu2Se
Method: DFT, GGA-PBEsol
State: optimized geometry

Lattice parameters (Å, degrees): 3.302 3.302 6.385 90.00 90.00 90.00
Element x y z (fractional)
1 Se 0.500 0.500 0.000
2 Tl 0.500 0.500 0.500
3 Cu 0.000 0.000 0.805
4 Cu 0.000 0.000 0.195



Version ii
Material: TlCu2Se
Method: DFT, GGA-PBEsol
State: optimized geometry

Lattice parameters (Å, degrees): 3.912 4.812 4.812 71.19 66.01 66.01
Element x y z (fractional)
1 Cu 0.285 0.715 0.715
2 Se 0.000 0.500 0.500
3 Tl 0.500 0.000 0.000
4 Cu 0.715 0.285 0.285



It turns out version ii is the most stable, with the second structure 0.8 kJ/mol of atoms higher.



Version i
Material: SrTa2Cu
Method: DFT, GGA-PBEsol
State: optimized geometry

Lattice parameters (Å, degrees): 3.959 3.959 5.155 90.00 90.00 90.00
Element x y z (fractional)
1 Cu 0.500 0.500 0.500
2 Ta 0.500 0.000 0.000
3 Ta 0.000 0.500 0.000
4 Sr 0.000 0.000 0.500



Version ii
Material: SrTa2Cu
Method: DFT, GGA-PBEsol
State: optimized geometry

Lattice parameters (Å, degrees): 4.765 4.765 4.765 60.00 60.00 60.00
Element x y z (fractional)
1 Ta 0.250 0.250 0.250
2 Cu 0.500 0.500 0.500
3 Ta 0.000 0.000 0.000
4 Sr 0.750 0.750 0.750



It turns out version ii is the most stable, with the second structure 7.7 kJ/mol of atoms higher.



Version i
Material: SrTa2Cu
Method: DFT, GGA-PBEsol
State: optimized geometry

Lattice parameters (Å, degrees): 3.027 3.583 7.706 90.00 90.00 90.00
Element x y z (fractional)
1 Sr 0.500 0.500 0.725
2 Ta 0.500 0.500 0.267
3 Ta 0.000 0.000 0.070
4 Cu 0.000 0.000 0.437



Version ii
Material: SrTa2Cu
Method: DFT, GGA-PBEsol
State: optimized geometry

Lattice parameters (Å, degrees): 2.995 5.493 5.880 117.85 104.75 90.00
Element x y z (fractional)
1 Cu 0.527 0.527 0.054
2 Sr 0.764 0.264 0.529
3 Ta 0.241 0.741 0.483
4 Ta 0.967 0.967 0.935



Version iii
Material: SrTa2Cu
Method: DFT, GGA-PBEsol
State: optimized geometry

Lattice parameters (Å, degrees): 3.025 4.935 4.935 90.00 90.00 90.00
Element x y z (fractional)
1 Cu 0.500 0.500 0.500
2 Ta 0.000 0.000 0.500
3 Ta 0.000 0.500 0.000
4 Sr 0.500 0.000 0.000



It turns out version i is the most stable, with the second structure 41.6 kJ/mol of atoms higher.



Version i
Material: Sr2TaCu
Method: DFT, GGA-PBEsol
State: optimized geometry

Lattice parameters (Å, degrees): 3.380 3.380 9.367 90.00 90.00 90.00
Element x y z (fractional)
1 Ta 0.000 0.000 0.573
2 Sr 0.500 0.500 0.312
3 Sr 0.000 0.000 0.926
4 Cu 0.500 0.500 0.689



Version ii
Material: Sr2TaCu
Method: DFT, GGA-PBEsol
State: optimized geometry

Lattice parameters (Å, degrees): 3.369 3.369 10.293 80.58 80.58 60.00
Element x y z (fractional)
1 Sr 0.255 0.255 0.234
2 Cu 0.000 0.000 0.000
3 Ta 0.500 0.500 0.500
4 Sr 0.745 0.745 0.766



It turns out version i is the most stable, with the second structure 35.6 kJ/mol of atoms higher.



Version i
Material: SrCuW
Method: DFT, GGA-PBEsol
State: optimized geometry

Lattice parameters (Å, degrees): 4.543 4.543 4.543 60.00 60.00 60.00
Last column: magnetic moment on the atom in μB.
Element x y z (fractional)
1 W 0.250 0.250 0.250  1.03
2 Cu 0.000 0.000 0.000  0.07
3 Sr 0.500 0.500 0.500  0.06



Version ii
Material: SrCuW
Method: DFT, GGA-PBEsol
State: optimized geometry

Lattice parameters (Å, degrees): 4.821 4.821 4.821 60.00 60.00 60.00
Last column: magnetic moment on the atom in μB.
Element x y z (fractional)
1 Sr 0.250 0.250 0.250  0.15
2 W 0.000 0.000 0.000  2.70
3 Cu 0.500 0.500 0.500  0.06



It turns out version i is the most stable, with the second structure 49.3 kJ/mol of atoms higher.



Version i
Material: Sr2CuW
Method: DFT, GGA-PBEsol
State: optimized geometry

Lattice parameters (Å, degrees): 3.251 3.251 10.210 80.84 80.84 60.00
Element x y z (fractional)
1 Cu 0.000 0.000 0.000
2 W 0.500 0.500 0.500
3 Sr 0.253 0.253 0.241
4 Sr 0.747 0.747 0.759



Version ii
Material: Sr2CuW
Method: DFT, GGA-PBEsol
State: optimized geometry

Lattice parameters (Å, degrees): 3.017 5.631 5.631 89.82 90.00 90.00
Element x y z (fractional)
1 Sr 0.000 0.000 0.500
2 Sr 0.000 0.500 0.000
3 W 0.500 0.500 0.500
4 Cu 0.500 0.000 0.000



It turns out version ii is the most stable, with the second structure 7.1 kJ/mol of atoms higher.



Version i
Material: SrZrCu2
Method: DFT, GGA-PBEsol
State: optimized geometry

Lattice parameters (Å, degrees): 3.274 3.274 7.619 90.00 90.00 90.00
Element x y z (fractional)
1 Cu 0.500 0.500 0.176
2 Sr 0.000 0.000 0.453
3 Zr 0.500 0.500 0.831
4 Cu 0.000 0.000 0.040



Version ii
Material: SrZrCu2
Method: DFT, GGA-PBEsol
State: optimized geometry

Lattice parameters (Å, degrees): 4.195 4.195 6.593 71.45 71.45 60.00
Last column: magnetic moment on the atom in μB.
Element x y z (fractional)
1 Cu 0.693 0.693 0.921  0.04
2 Sr 0.481 0.481 0.558  0.07
3 Cu 0.028 0.028 0.916  0.04
4 Zr 0.298 0.298 0.105  0.39



It turns out version ii is the most stable, with the second structure 4.3 kJ/mol of atoms higher.



Version i
Material: TaCuTc2
Method: DFT, GGA-PBEsol
State: optimized geometry

Lattice parameters (Å, degrees): 4.324 4.324 4.324 60.00 60.00 60.00
Element x y z (fractional)
1 Cu 0.000 0.000 0.000
2 Tc 0.750 0.750 0.750
3 Tc 0.250 0.250 0.250
4 Ta 0.500 0.500 0.500



Version ii
Material: TaCuTc2
Method: DFT, GGA-PBEsol
State: optimized geometry

Lattice parameters (Å, degrees): 3.847 3.847 4.706 114.12 114.12 90.00
Element x y z (fractional)
1 Ta 0.250 0.750 0.500
2 Tc 0.000 0.000 0.000
3 Cu 0.500 0.500 0.000
4 Tc 0.750 0.250 0.500



It turns out version ii is the most stable, with the second structure 7.8 kJ/mol of atoms higher.



Version i
Material: TaCuTc2
Method: DFT, GGA-PBEsol
State: optimized geometry

Lattice parameters (Å, degrees): 2.627 4.335 5.119 90.00 99.37 90.00
Element x y z (fractional)
1 Tc 0.764 0.000 0.761
2 Tc 0.236 0.000 0.239
3 Cu 0.500 0.500 0.000
4 Ta 0.000 0.500 0.500



Version ii
Material: TaCuTc2
Method: DFT, GGA-PBEsol
State: optimized geometry

Lattice parameters (Å, degrees): 2.811 3.798 5.370 90.00 90.01 90.00
Element x y z (fractional)
1 Tc 0.000 0.000 0.019
2 Ta 0.500 0.500 0.746
3 Tc 0.500 0.500 0.238
4 Cu 0.000 0.000 0.498



It turns out version ii is the most stable, with the second structure 5.4 kJ/mol of atoms higher.



Version i
Material: TaTlCu2
Method: DFT, GGA-PBEsol
State: optimized geometry

Lattice parameters (Å, degrees): 2.948 3.639 6.002 90.00 90.00 90.00
Element x y z (fractional)
1 Ta 0.500 0.500 0.000
2 Tl 0.500 0.500 0.500
3 Cu 0.000 0.000 0.218
4 Cu 0.000 0.000 0.782



Version ii
Material: TaTlCu2
Method: DFT, GGA-PBEsol
State: optimized geometry

Lattice parameters (Å, degrees): 2.883 4.644 5.426 115.34 105.41 90.00
Element x y z (fractional)
1 Ta 0.488 0.488 0.975
2 Cu 0.731 0.231 0.463
3 Cu 0.015 0.015 0.030
4 Tl 0.266 0.766 0.532



Version iii
Material: TaTlCu2
Method: DFT, GGA-PBEsol
State: optimized geometry

Lattice parameters (Å, degrees): 3.562 4.190 4.190 90.00 90.00 90.00
Element x y z (fractional)
1 Cu 0.000 0.500 0.000
2 Cu 0.000 0.000 0.500
3 Tl 0.500 0.000 0.000
4 Ta 0.500 0.500 0.500



Version iv
Material: TaTlCu2
Method: DFT, GGA-PBEsol
State: optimized geometry

Lattice parameters (Å, degrees): 2.932 2.932 9.094 80.72 80.72 60.00
Element x y z (fractional)
1 Cu 0.754 0.754 0.738
2 Cu 0.246 0.246 0.262
3 Tl 0.000 0.000 0.000
4 Ta 0.500 0.500 0.500



It turns out version i is the most stable, with the second structure 4.7 kJ/mol of atoms higher.



Version i
Material: TaCuW2
Method: DFT, GGA-PBEsol
State: optimized geometry

Lattice parameters (Å, degrees): 2.676 4.462 5.194 90.00 98.39 90.00
Element x y z (fractional)
1 Cu 0.559 0.000 0.508
2 W 0.718 0.500 0.240
3 W 0.984 0.000 0.012
4 Ta 0.238 0.500 0.741



Version ii
Material: TaCuW2
Method: DFT, GGA-PBEsol
State: optimized geometry

Lattice parameters (Å, degrees): 2.836 4.739 4.857 99.94 106.97 90.00
Element x y z (fractional)
1 Cu 0.500 0.000 0.000
2 Ta 0.000 0.500 0.000
3 W 0.234 0.236 0.469
4 W 0.766 0.764 0.531



It turns out version i is the most stable, with the second structure 8.5 kJ/mol of atoms higher.



Version i
Material: TaZn2Cu
Method: DFT, GGA-PBEsol
State: optimized geometry

Lattice parameters (Å, degrees): 2.796 2.796 7.126 90.00 90.00 90.00
Element x y z (fractional)
1 Zn 0.000 0.000 0.222
2 Cu 0.500 0.500 0.000
3 Ta 0.500 0.500 0.500
4 Zn 0.000 0.000 0.778



Version ii
Material: TaZn2Cu
Method: DFT, GGA-PBEsol
State: optimized geometry

Lattice parameters (Å, degrees): 2.811 2.811 7.102 90.00 90.00 90.00
Element x y z (fractional)
1 Zn 0.500 0.500 0.263
2 Zn 0.000 0.000 0.017
3 Ta 0.500 0.500 0.740
4 Cu 0.000 0.000 0.480



It turns out version i is the most stable, with the second structure 3.0 kJ/mol of atoms higher.